# Mn3NbRu

A crystal of Mn3NbRu relaxed with PBEsol (SCAN, the Alexandria database).

a = 4.392 Å, b = 4.392 Å, c = 4.392 Å
α = 90.00°, β = 90.00°, γ = 90.00°
Fractional positions:
Mn  0.000  0.000  0.500
Mn  0.000  0.500  0.000
Mn  0.500  0.000  0.000
Nb  0.500  0.500  0.500
Ru  0.000  0.000  0.000

Calculated values
ΔH_f (0 K)   0.995 eV per atom
E_tot   -23.55 eV per atom
Calculated volume   16.95 Å³ per atom
Theoretical density   7.0 g cm⁻³